1.
# GGA-PBE KCoGe2Pd, optimized geometry
data_KCoGe2Pd
_chemical_formula_sum 'K1 Co1 Ge2 Pd1'
_cell_length_a 4.857
_cell_length_b 4.857
_cell_length_c 5.027
_cell_angle_alpha 90.00
_cell_angle_beta 90.00
_cell_angle_gamma 90.00
_space_group_name_H-M_alt 'P 4/m m m'
_space_group_IT_number 123
_space_group_name_Hall '-P 4 2'
loop_
_atom_site_label
_atom_site_type_symbol
_atom_site_fract_x
_atom_site_fract_y
_atom_site_fract_z
K1 K 0.000 0.000 0.000
Co1 Co 0.500 0.500 0.000
Ge1 Ge 0.000 0.500 0.500
Pd1 Pd 0.500 0.500 0.500
# **N(E_F)**: 5.05 states/eV per cell
# **ΔH_f (0 K)**: 470.3 meV per atom


2.
# GGA-PBE TaPSe2N, optimized geometry
data_TaPSe2N
_chemical_formula_sum 'Ta1 P1 Se2 N1'
_cell_length_a 4.975
_cell_length_b 4.975
_cell_length_c 3.252
_cell_angle_alpha 90.00
_cell_angle_beta 90.00
_cell_angle_gamma 90.00
_space_group_name_H-M_alt 'P 4/m m m'
_space_group_IT_number 123
_space_group_name_Hall '-P 4 2'
loop_
_atom_site_label
_atom_site_type_symbol
_atom_site_fract_x
_atom_site_fract_y
_atom_site_fract_z
Ta1 Ta 0.000 0.000 0.000
P1 P 0.500 0.500 0.500
Se1 Se 0.000 0.500 0.500
N1 N 0.500 0.500 0.000
# **Energy relative to the elements, uncorrected**: 323 kJ/mol of formula units
# **N(E_F)**: 4.70 states/eV per cell


3.
# GGA-PBE Ge2PbBr6, optimized geometry
data_Ge2PbBr6
_chemical_formula_sum 'Ge8 Pb4 Br24'
_cell_length_a 15.137
_cell_length_b 12.624
_cell_length_c 7.265
_cell_angle_alpha 90.00
_cell_angle_beta 94.85
_cell_angle_gamma 90.00
_space_group_name_H-M_alt 'C 1 2/c 1'
_space_group_IT_number 15
_space_group_name_Hall '-C 2yc'
loop_
_atom_site_label
_atom_site_type_symbol
_atom_site_fract_x
_atom_site_fract_y
_atom_site_fract_z
Ge1 Ge 0.243 0.086 0.019
Pb1 Pb 0.000 0.399 0.250
Br1 Br 0.114 0.429 0.613
Br2 Br 0.147 0.059 0.716
Br3 Br 0.148 0.247 0.134
# **Energy relative to the elements, uncorrected**: -571 kJ/mol of formula units
# **N(E_F)**: 0.00 states/eV per cell


4.
# GGA-PBE Ga2Sn2Pt, optimized geometry
data_Ga2Sn2Pt
_chemical_formula_sum 'Ga4 Sn4 Pt2'
_cell_length_a 6.959
_cell_length_b 6.959
_cell_length_c 4.838
_cell_angle_alpha 90.00
_cell_angle_beta 90.00
_cell_angle_gamma 90.00
_space_group_name_H-M_alt 'P 4/m b m'
_space_group_IT_number 127
_space_group_name_Hall '-P 4 2ab'
loop_
_atom_site_label
_atom_site_type_symbol
_atom_site_fract_x
_atom_site_fract_y
_atom_site_fract_z
Ga1 Ga 0.158 0.342 0.000
Sn1 Sn 0.151 0.651 0.500
Pt1 Pt 0.000 0.000 0.500
# **N(E_F)**: 1.58 states/eV per cell
# **ΔH_f (0 K)**: -40.2 meV per atom


5.
# GGA-PBE PmSmMgIr, optimized geometry
data_PmSmMgIr
_chemical_formula_sum 'Pm4 Sm4 Mg4 Ir4'
_cell_length_a 7.275
_cell_length_b 7.275
_cell_length_c 7.275
_cell_angle_alpha 90.00
_cell_angle_beta 90.00
_cell_angle_gamma 90.00
_space_group_name_H-M_alt 'F -4 3 m'
_space_group_IT_number 216
_space_group_name_Hall 'F -4 2 3'
loop_
_atom_site_label
_atom_site_type_symbol
_atom_site_fract_x
_atom_site_fract_y
_atom_site_fract_z
Pm1 Pm 0.000 0.000 0.000
Sm1 Sm 0.000 0.000 0.500
Mg1 Mg 0.250 0.250 0.250
Ir1 Ir 0.250 0.250 0.750
# **N(E_F)**: 11.88 states/eV per cell
# **ΔH_f (0 K)**: -344.4 meV per atom


6.
# GGA-PBE DyHo8Sc2, optimized geometry
data_DyHo8Sc2
_chemical_formula_sum 'Dy2 Ho16 Sc4'
_cell_length_a 8.851
_cell_length_b 16.016
_cell_length_c 5.771
_cell_angle_alpha 90.00
_cell_angle_beta 125.08
_cell_angle_gamma 90.00
_space_group_name_H-M_alt 'C 1 2/m 1'
_space_group_IT_number 12
_space_group_name_Hall '-C 2y'
loop_
_atom_site_label
_atom_site_type_symbol
_atom_site_fract_x
_atom_site_fract_y
_atom_site_fract_z
Dy1 Dy 0.000 0.000 0.000
Ho1 Ho 0.000 0.206 0.000
Ho2 Ho 0.061 0.500 0.789
Ho3 Ho 0.220 0.124 0.686
Sc1 Sc 0.000 0.311 0.500
# **N(E_F)**: 32.39 states/eV per cell
# **ΔH_f (0 K)**: 174.7 meV per atom


7.
# GGA-PBE Na2HgH6Pt, optimized geometry
data_Na2HgH6Pt
_chemical_formula_sum 'Na4 Hg2 H12 Pt2'
_cell_length_a 7.885
_cell_length_b 7.913
_cell_length_c 5.578
_cell_angle_alpha 90.00
_cell_angle_beta 134.85
_cell_angle_gamma 90.00
_space_group_name_H-M_alt 'C 1 2/m 1'
_space_group_IT_number 12
_space_group_name_Hall '-C 2y'
loop_
_atom_site_label
_atom_site_type_symbol
_atom_site_fract_x
_atom_site_fract_y
_atom_site_fract_z
Na1 Na 0.000 0.250 0.000
Hg1 Hg 0.000 0.000 0.500
H1 H 0.000 0.289 0.500
H2 H 0.210 0.500 0.921
H3 H 0.212 0.500 0.499
Pt1 Pt 0.000 0.500 0.500
# **Total energy**: -3.14 eV per atom


8.
# GGA-PBE Tl12In2Pb, optimized geometry
data_Tl12In2Pb
_chemical_formula_sum 'Tl24 In4 Pb2'
_cell_length_a 6.690
_cell_length_b 6.690
_cell_length_c 22.666
_cell_angle_alpha 90.00
_cell_angle_beta 90.00
_cell_angle_gamma 90.00
_space_group_name_H-M_alt 'P 4/n b m'
_space_group_IT_number 125
loop_
_space_group_symop_operation_xyz
'x,y,z'
'-x,-y,-z'
'-y+1/2,x,z'
'y+1/2,-x,-z'
'-x+1/2,-y+1/2,z'
'x+1/2,y+1/2,-z'
'y,-x+1/2,z'
'-y,x+1/2,-z'
'x,-y+1/2,-z'
'-x,y+1/2,z'
'-y+1/2,-x+1/2,-z'
'y+1/2,x+1/2,z'
'-x+1/2,y,-z'
'x+1/2,-y,z'
'y,x,-z'
'-y,-x,z'
loop_
_atom_site_label
_atom_site_type_symbol
_atom_site_fract_x
_atom_site_fract_y
_atom_site_fract_z
Tl1 Tl 0.002 0.502 0.102
Tl2 Tl 0.079 0.579 0.436
Tl3 Tl 0.250 0.250 0.202
Tl4 Tl 0.250 0.250 0.338
In1 In 0.250 0.750 0.236
Pb1 Pb 0.250 0.750 0.000
# **N(E_F)**: 17.19 states/eV per cell
# **ΔH_f (0 K)**: 135.0 meV per atom


9.
# GGA-PBE Na5Tl12Cd2, optimized geometry
data_Na5Tl12Cd2
_chemical_formula_sum 'Na10 Tl24 Cd4'
_cell_length_a 14.927
_cell_length_b 9.066
_cell_length_c 10.791
_cell_angle_alpha 90.00
_cell_angle_beta 130.39
_cell_angle_gamma 90.00
_space_group_name_H-M_alt 'C 1 2/m 1'
_space_group_IT_number 12
_space_group_name_Hall '-C 2y'
loop_
_atom_site_label
_atom_site_type_symbol
_atom_site_fract_x
_atom_site_fract_y
_atom_site_fract_z
Na1 Na 0.000 0.000 0.000
Na2 Na 0.203 0.500 0.793
Na3 Na 0.213 0.000 0.632
Tl1 Tl 0.073 0.500 0.386
Tl2 Tl 0.079 0.000 0.772
Tl3 Tl 0.131 0.315 0.997
Tl4 Tl 0.156 0.189 0.315
Cd1 Cd 0.000 0.240 0.500
# **N(E_F)**: 16.83 states/eV per cell
# **ΔH_f (0 K)**: -41.8 meV per atom


10.
# GGA-PBE PmErSn6, optimized geometry
data_PmErSn6
_chemical_formula_sum 'Pm1 Er1 Sn6'
_cell_length_a 4.800
_cell_length_b 4.800
_cell_length_c 9.198
_cell_angle_alpha 90.00
_cell_angle_beta 90.00
_cell_angle_gamma 90.00
_space_group_name_H-M_alt 'P 4/m m m'
_space_group_IT_number 123
_space_group_name_Hall '-P 4 2'
loop_
_atom_site_label
_atom_site_type_symbol
_atom_site_fract_x
_atom_site_fract_y
_atom_site_fract_z
Pm1 Pm 0.000 0.000 0.000
Er1 Er 0.000 0.000 0.500
Sn1 Sn 0.000 0.500 0.255
Sn2 Sn 0.500 0.500 0.000
Sn3 Sn 0.500 0.500 0.500
# **N(E_F)**: 3.63 states/eV per cell
# **ΔH_f (0 K)**: -439.7 meV per atom


11.
# GGA-PBE LuAlTlAg, optimized geometry
data_LuAlTlAg
_chemical_formula_sum 'Lu4 Al4 Tl4 Ag4'
_cell_length_a 7.020
_cell_length_b 7.020
_cell_length_c 7.020
_cell_angle_alpha 90.00
_cell_angle_beta 90.00
_cell_angle_gamma 90.00
_space_group_name_H-M_alt 'F -4 3 m'
_space_group_IT_number 216
_space_group_name_Hall 'F -4 2 3'
loop_
_atom_site_label
_atom_site_type_symbol
_atom_site_fract_x
_atom_site_fract_y
_atom_site_fract_z
Lu1 Lu 0.000 0.000 0.000
Al1 Al 0.000 0.000 0.500
Tl1 Tl 0.250 0.250 0.250
Ag1 Ag 0.250 0.250 0.750
# **N(E_F)**: 5.46 states/eV per cell
# **ΔH_f (0 K)**: -111.8 meV per atom


12.
# GGA-PBE La2Pm8Sm, optimized geometry
data_La2Pm8Sm
_chemical_formula_sum 'La4 Pm16 Sm2'
_cell_length_a 19.445
_cell_length_b 7.161
_cell_length_c 5.739
_cell_angle_alpha 90.00
_cell_angle_beta 93.43
_cell_angle_gamma 90.00
_space_group_name_H-M_alt 'C 1 2/m 1'
_space_group_IT_number 12
_space_group_name_Hall '-C 2y'
loop_
_atom_site_label
_atom_site_type_symbol
_atom_site_fract_x
_atom_site_fract_y
_atom_site_fract_z
La1 La 0.216 0.000 0.260
Pm1 Pm 0.045 0.000 0.237
Pm2 Pm 0.127 0.235 0.733
Pm3 Pm 0.184 0.500 0.229
Sm1 Sm 0.000 0.500 0.000
# **N(E_F)**: 33.92 states/eV per cell
# **ΔH_f (0 K)**: 161.8 meV per atom